(1)
BiSb2TeC at its PBEsol-relaxed geometry, computed with SCAN.

The structure belongs to space group P4/mmm (No. 123); the cell edges are 5.832, 5.832 and 5.770 Å and the angles 90.00°, 90.00° and 90.00°. Symmetry generates all atoms from Bi at (0.000, 0.000, 0.000), Sb at (0.000, 0.500, 0.000), Te at (0.000, 0.000, 0.500) and C at (0.500, 0.500, 0.500).

As for the formation energy without anion corrections: 2260 meV per atom. The density of states at the Fermi level comes out at 7.1 states/eV per cell. The total DFT energy (no corrections) comes out at -37.83 eV/atom. As for the magnetic moment: 0.122 μB/atom.

***

(2)
Pt2AuSe at its PBEsol-relaxed geometry, computed with SCAN.

The structure belongs to space group Cmm2 (No. 35); the cell edges are 4.021, 4.028 and 8.174 Å and the angles 90.00°, 90.00° and 90.00°. Symmetry generates all atoms from Pt at (0.000, 0.000, 0.000), Pt at (0.000, 0.500, 0.236), Au at (0.000, 0.000, 0.482) and Se at (0.000, 0.500, 0.779).

As for the formation energy without anion corrections: 273 meV per atom. The density of states at the Fermi level comes out at 5.3 states/eV per cell. The total DFT energy (no corrections) comes out at -57.13 eV/atom. As for the magnetic moment: 0.000 μB/atom.

***

(3)
FeBi3O at its PBEsol-relaxed geometry, computed with SCAN.

The structure belongs to space group Pm-3m (No. 221); the cell edges are 4.924, 4.924 and 4.924 Å and the angles 90.00°, 90.00° and 90.00°. Symmetry generates all atoms from Fe at (0.000, 0.000, 0.000), Bi at (0.000, 0.000, 0.500) and O at (0.500, 0.500, 0.500).

As for the formation energy without anion corrections: 763 meV per atom. The density of states at the Fermi level comes out at 5.3 states/eV per cell. The total DFT energy (no corrections) comes out at -51.26 eV/atom. As for the magnetic moment: 0.324 μB/atom.

***

(4)
Y2ReRu at its PBEsol-relaxed geometry, computed with SCAN.

The structure belongs to space group Amm2 (No. 38); the cell edges are 4.085, 4.378 and 10.151 Å and the angles 90.00°, 90.00° and 90.00°. Symmetry generates all atoms from Y at (0.000, 0.000, 0.000), Y at (0.500, 0.000, 0.293), Re at (0.000, 0.000, 0.704) and Ru at (0.500, 0.000, 0.590).

The formation energy is -0.57 eV/f.u. The density of states at the Fermi level comes out at 6.2 states/eV per cell. The total DFT energy (no corrections) comes out at -40.55 eV/atom. As for the magnetic moment: 0.000 μB/atom.

***

(5)
Ba5Gd2ZrAl2O13 at its PBEsol-relaxed geometry, computed with SCAN.

The structure belongs to space group P6_3/mmc (No. 194); the cell edges are 5.9884, 5.9884 and 25.2210 Å and the angles 90.00°, 90.00° and 120.00°. Symmetry generates all atoms from Ba at (0.0000, 0.0000, 0.1362), Ba at (0.3333, 0.6667, 0.0400), Ba at (0.3333, 0.6667, 0.7500), Gd at (0.3333, 0.6667, 0.6042), Zr at (0.0000, 0.0000, 0.0000), Al at (0.3333, 0.6667, 0.1816), O at (0.0111, 0.5056, 0.1591), O at (0.1615, 0.3229, 0.5494) and O at (0.3333, 0.6667, 0.2500).

As for the formation energy without anion corrections: -3355 meV per atom. The density of states at the Fermi level comes out at 0.0 states/eV per cell. The total DFT energy (no corrections) comes out at -22.60 eV/atom. As for the magnetic moment: 0.608 μB/atom.

***

(6)
ZrTcMo2 at its PBEsol-relaxed geometry, computed with SCAN.

The structure belongs to space group P4mm (No. 99); the cell edges are 3.171, 3.171 and 6.439 Å and the angles 90.00°, 90.00° and 90.00°. Symmetry generates all atoms from Zr at (0.000, 0.000, 0.000), Tc at (0.500, 0.500, 0.738), Mo at (0.000, 0.000, 0.503) and Mo at (0.500, 0.500, 0.269).

The formation energy is -0.55 eV/f.u. The density of states at the Fermi level comes out at 2.6 states/eV per cell. The total DFT energy (no corrections) comes out at -34.02 eV/atom. As for the magnetic moment: 0.000 μB/atom.